Material: Hf2CrW
Method: DFT, PBE
State: relaxed

E_form ... 0.801 eV/atom
Energy relative to the lowest polymorph listed for this composition ... 0.655 eV per atom

a b c (Å): 7.332 7.332 5.894
angles (deg): 51.53 51.53 90.00
Each line ends with the local moment (μB).
Fractional coordinates of all 8 atoms:
W  0.000  0.000  0.000  -0.11
W  0.750  0.250  0.500  -0.11
Hf  0.875  0.860  0.750  -0.06
Hf  0.610  0.125  0.250  -0.06
Hf  0.140  0.625  0.250  -0.06
Hf  0.375  0.390  0.750  -0.06
Cr  0.250  0.750  0.500  2.01
Cr  0.500  0.500  0.000  2.00



Material: KRb2InCl5
Method: DFT, PBE
State: relaxed

E_form (uncorrected) ... -14.4 eV per formula unit

a b c (Å): 4.952 9.651 13.283
angles (deg): 90.00 90.00 104.86
Fractional coordinates of all 18 atoms:
Cl  0.622  0.244  0.503
Cl  0.512  0.024  0.270
Cl  0.333  0.666  0.377
Cl  0.963  0.926  0.515
Cl  0.378  0.756  0.003
Cl  0.286  0.571  0.673
Cl  0.667  0.334  0.877
Cl  0.488  0.976  0.770
Cl  0.037  0.074  0.015
Cl  0.714  0.429  0.173
Rb  0.147  0.293  0.316
Rb  0.112  0.225  0.692
Rb  0.888  0.775  0.192
Rb  0.853  0.707  0.816
K  0.789  0.578  0.523
K  0.211  0.422  0.023
In  0.528  0.056  0.955
In  0.472  0.944  0.455



Material: Cd2HRh
Method: DFT, PBE
State: relaxed

Energy relative to the lowest polymorph listed for this composition ... 0.000 eV per atom

a b c (Å): 3.050 4.277 5.142
angles (deg): 114.58 90.00 90.00
Fractional coordinates of all 4 atoms:
Cd  0.500  0.279  0.558
Cd  0.000  0.970  0.940
Rh  0.500  0.579  0.159
H  0.000  0.671  0.341



Material: FeCoGe2
Method: DFT, PBE
State: relaxed

E_form ... 0.378 eV/atom

a b c (Å): 6.450 6.450 5.336
angles (deg): 52.82 52.82 90.00
Each line ends with the local moment (μB).
Fractional coordinates of all 8 atoms:
Ge  0.875  0.888  0.750  -0.03
Ge  0.638  0.125  0.250  -0.03
Ge  0.375  0.362  0.750  -0.03
Ge  0.112  0.625  0.250  -0.03
Co  0.000  0.000  0.000  -0.29
Co  0.750  0.250  0.500  -0.29
Fe  0.250  0.750  0.500  2.01
Fe  0.500  0.500  0.000  2.01



Material: Li2LaAlPd4
Method: DFT, PBE
State: relaxed

E_form ... -0.685 eV/atom

a b c (Å): 4.321 4.321 8.801
angles (deg): 75.79 75.79 60.00
Fractional coordinates of all 8 atoms:
Al  0.500  0.500  0.500
Pd  0.400  0.400  0.799
Pd  0.132  0.132  0.603
Pd  0.868  0.868  0.397
Pd  0.600  0.600  0.201
Li  0.236  0.236  0.292
Li  0.764  0.764  0.708
La  0.000  0.000  0.000



Material: LiSc2HgO
Method: DFT, PBE
State: relaxed

Energy relative to the lowest polymorph listed for this composition ... 1.781 eV per atom
E_form (uncorrected) ... 1.9 eV per formula unit

a b c (Å): 5.262 4.547 5.262
angles (deg): 90.00 90.00 90.00
Fractional coordinates of all 5 atoms:
Sc  0.500  0.000  0.000
Sc  0.000  0.000  0.500
Li  0.000  0.500  0.000
Hg  0.000  0.000  0.000
O  0.500  0.500  0.500



Material: Sr2Te2Pt
Method: DFT, PBE
State: relaxed

Energy relative to the lowest polymorph listed for this composition ... 0.000 eV per atom
E_form (uncorrected) ... -3.2 eV per formula unit

a b c (Å): 8.543 8.543 4.437
angles (deg): 90.00 90.00 90.00
Each line ends with the local moment (μB).
Fractional coordinates of all 10 atoms:
Te  0.338  0.162  0.500  0.04
Te  0.662  0.838  0.500  0.04
Te  0.838  0.338  0.500  0.04
Te  0.162  0.662  0.500  0.04
Sr  0.349  0.849  0.000  0.00
Sr  0.151  0.349  0.000  0.00
Sr  0.651  0.151  0.000  0.00
Sr  0.849  0.651  0.000  0.00
Pt  0.500  0.500  0.000  0.35
Pt  0.000  0.000  0.000  0.35



Material: Y2ZnRe
Method: DFT, PBE
State: relaxed

E_form ... 0.134 eV/atom

a b c (Å): 3.472 3.472 7.646
angles (deg): 90.00 90.00 90.00
Fractional coordinates of all 4 atoms:
Y  0.000  0.000  0.930
Y  0.500  0.500  0.326
Zn  0.000  0.000  0.554
Re  0.500  0.500  0.689



Number 1: VASP energy -78.6 eV/cell. Number 2: VASP energy -58.8 eV/cell. Number 3: VASP energy -13.0 eV/cell. Number 4: VASP energy -46.6 eV/cell. Number 5: VASP energy -38.8 eV/cell. Number 6: VASP energy -17.9 eV/cell. Number 7: VASP energy -37.7 eV/cell. Number 8: VASP energy -26.1 eV/cell.